[1]
## Na2TlHF6 (PBE-GGA)

Data for a geometry-optimized Na2TlHF6 structure.

a b c (Å): 5.896 4.472 12.008
angles (deg): 90.00 119.24 90.00
Space group P2_1/c (No. 14)
Asymmetric unit:
Na (0.187, 0.001, 0.187)
Tl (0.500, 0.000, 0.000)
H (0.000, 0.000, 0.500)
F (0.114, 0.213, 0.500)
F (0.185, 0.731, 0.349)
F (0.487, 0.733, 0.651)

Output
uncorrected energy: -82.1 eV for the cell shown

---

[2]
## Li6AcPd4 (PBE-GGA)

Data for a geometry-optimized Li6AcPd4 structure.

a b c (Å): 6.623 6.623 9.835
angles (deg): 90.00 90.00 90.00
Space group I-42m (No. 121)
Asymmetric unit:
Li (0.000, 0.500, 0.000)
Li (0.189, 0.189, 0.302)
Ac (0.000, 0.000, 0.000)
Pd (0.177, 0.177, 0.574)

Output
uncorrected energy: -78.9 eV for the cell shown
energy relative to the elements: -0.28 eV/atom

---

[3]
## PPt2Se (PBE-GGA)

Data for a geometry-optimized PPt2Se structure.

a b c (Å): 5.460 7.069 7.200
angles (deg): 90.00 90.00 90.00
Space group Fmmm (No. 69)
Asymmetric unit:
P (0.000, 0.000, 0.000)
Pt (0.000, 0.250, 0.250)
Se (0.000, 0.000, 0.500)

Output
uncorrected energy: -84.2 eV for the cell shown
raw formation energy: -0.0172 eV/atom

---

[4]
## Cd2FePt (PBE-GGA)

Data for a geometry-optimized Cd2FePt structure.

a b c (Å): 6.499 6.499 6.499
angles (deg): 90.00 90.00 90.00
Space group F-43m (No. 216)
Asymmetric unit:
Cd (0.000, 0.000, 0.000)
Cd (0.250, 0.250, 0.250)
Fe (0.000, 0.000, 0.500)
Pt (0.250, 0.250, 0.750)

Output
uncorrected energy: -64.5 eV for the cell shown
energy relative to the elements: 0.05 eV/atom

---

[5]
## SrCuNiH6 (PBE-GGA)

Data for a geometry-optimized SrCuNiH6 structure.

a b c (Å): 4.5400 4.5400 4.5532
angles (deg): 90.00 90.00 120.00
Space group P-6m2 (No. 187)
Asymmetric unit:
Sr (0.0000, 0.0000, 0.0000)
Cu (0.3333, 0.6667, 0.5000)
Ni (0.6667, 0.3333, 0.5000)
H (0.5087, 0.0173, 0.2747)

Output
uncorrected energy: -34.1 eV for the cell shown

---

[6]
## RbTcI5 (PBE-GGA)

Data for a geometry-optimized RbTcI5 structure.

a b c (Å): 15.798 8.737 10.616
angles (deg): 90.00 111.33 90.00
Space group C2/c (No. 15)
Asymmetric unit:
Rb (0.000, 0.025, 0.250)
Tc (0.000, 0.500, 0.000)
I (0.000, 0.394, 0.750)
I (0.131, 0.287, 0.526)
I (0.132, 0.289, 0.117)

Output
uncorrected energy: -88.3 eV for the cell shown
raw formation energy: -0.4255 eV/atom

---

[7]
## ScNi6Rh (PBE-GGA)

Data for a geometry-optimized ScNi6Rh structure.

a b c (Å): 7.305 10.401 10.381
angles (deg): 90.00 90.00 90.00
Space group Cmmm (No. 65)
Asymmetric unit:
Sc (0.000, 0.000, 0.250)
Sc (0.000, 0.248, 0.000)
Ni (0.000, 0.000, 0.000)
Ni (0.000, 0.000, 0.500)
Ni (0.000, 0.254, 0.256)
Ni (0.000, 0.500, 0.000)
Ni (0.000, 0.500, 0.500)
Ni (0.244, 0.373, 0.377)
Ni (0.245, 0.376, 0.128)
Rh (0.000, 0.240, 0.500)
Rh (0.000, 0.500, 0.251)

Output
uncorrected energy: -397.6 eV for the cell shown
energy relative to the elements: -0.17 eV/atom

---

[8]
## Ca2SiO2 (PBE-GGA)

Data for a geometry-optimized Ca2SiO2 structure.

a b c (Å): 4.692 4.692 8.823
angles (deg): 90.00 90.00 90.00
Space group I4/mmm (No. 139)
Asymmetric unit:
Ca (0.000, 0.500, 0.250)
Si (0.000, 0.000, 0.000)
O (0.000, 0.000, 0.211)

Output
uncorrected energy: -56.8 eV for the cell shown
raw formation energy: -1.8162 eV/atom

---

[9]
## ScVIn (PBE-GGA)

Data for a geometry-optimized ScVIn structure.

a b c (Å): 5.471 9.467 18.783
angles (deg): 90.00 90.00 90.00
Space group Fddd (No. 70, origin choice 2)
Asymmetric unit:
Sc (0.125, 0.288, 0.125)
V (0.125, 0.125, 0.253)
In (0.125, 0.125, 0.542)

Output
uncorrected energy: -282.0 eV for the cell shown
energy relative to the elements: 0.19 eV/atom

---

[10]
## BaTe3 (PBE-GGA)

Data for a geometry-optimized BaTe3 structure.

a b c (Å): 4.136 4.606 8.651
angles (deg): 90.00 90.00 90.00
Space group Pmm2 (No. 25)
Asymmetric unit:
Ba (0.000, 0.000, 0.000)
Te (0.000, 0.500, 0.352)
Te (0.500, 0.000, 0.362)
Te (0.500, 0.500, 0.824)

Output
uncorrected energy: -14.0 eV for the cell shown
raw formation energy: -0.6671 eV/atom

---

[11]
## Tb6AlTl (PBE-GGA)

Data for a geometry-optimized Tb6AlTl structure.

a b c (Å): 4.825 4.825 9.649
angles (deg): 90.00 90.00 90.00
Space group P4/mmm (No. 123)
Asymmetric unit:
Tb (0.000, 0.000, 0.000)
Tb (0.000, 0.000, 0.500)
Tb (0.000, 0.500, 0.241)
Al (0.500, 0.500, 0.000)
Tl (0.500, 0.500, 0.500)

Output
uncorrected energy: -35.4 eV for the cell shown
energy relative to the elements: -0.19 eV/atom

---

[12]
## ZrSc2Al3 (PBE-GGA)

Data for a geometry-optimized ZrSc2Al3 structure.

a b c (Å): 4.340 8.246 12.991
angles (deg): 90.00 90.00 90.00
Space group Imma (No. 74)
Asymmetric unit:
Zr (0.000, 0.250, 0.166)
Sc (0.000, 0.250, 0.500)
Sc (0.000, 0.250, 0.834)
Al (0.000, 0.000, 0.000)
Al (0.000, 0.001, 0.333)

Output
uncorrected energy: -140.3 eV for the cell shown
energy relative to the elements: -0.44 eV/atom